1.
3
Lattice="-2.638 2.306 -1.476 -2.616 -1.518 2.303 4.300 5.020 5.055" Properties=species:S:1:pos:R:3 comment="AcLaGd PBE-GGA relaxed" e_above_lowest_polymorph_ev_per_fu=0.00 total_energy_ev_per_cell=-23.054 e_form_ev_per_atom=0.02 pbc="T T T"
Ac 0.004 0.013 0.013
Gd -2.057 2.237 2.276
La 1.099 3.558 3.594

---

2.
4
Lattice="-1.472 2.763 -4.867 -5.500 -0.038 -1.799 -3.164 4.838 0.263" Properties=species:S:1:pos:R:3 comment="LiAcLaGd PBE-GGA relaxed" total_energy_ev_per_cell=-24.457 e_form_ev_per_atom=0.14 pbc="T T T"
Ac -2.534 1.891 -1.601
Gd -5.068 3.781 -3.202
Li 0.000 0.000 0.000
La -7.602 5.672 -4.802

---

3.
4
Lattice="-3.447 3.343 3.425 -4.201 -2.505 3.296 0.583 -0.204 5.866" Properties=species:S:1:pos:R:3 comment="AcLaGdLu PBE-GGA relaxed" total_energy_ev_per_cell=-27.028 e_form_ev_per_atom=0.15 pbc="T T T"
Ac -3.533 0.317 6.293
Gd -5.299 0.475 9.440
Lu 0.000 0.000 0.000
La -1.766 0.158 3.147

---

| no. | DOS at the Fermi energy (states/eV/atom) | size of the total moment (μB per cell) |
| --- | --- | --- |
| 1 | 1.4895 | 7.752 |
| 2 | 1.3682 | 7.392 |
| 3 | 2.0332 | 8.914 |